Rb2FeAsO: optimized geometry, GGA-PBEsol.

Lattice parameters (Å, degrees): 6.197 6.197 4.324 90.00 90.00 90.00
Atoms (fractional coordinates):
Rb1 0.000 0.500 0.000
Rb2 0.500 0.000 0.000
Fe1 0.000 0.000 0.000
As1 0.000 0.000 0.500
O1 0.500 0.500 0.500

The space-group type is No. 123. As for the uncorrected formation energy: 0.41 eV per atom. As for the density: 3.177 g cm⁻³. For the final energy, the calculation gives -3.868 eV/atom.

---

Y2ScHS: optimized geometry, GGA-PBEsol.

Lattice parameters (Å, degrees): 5.166 5.166 4.676 90.00 90.00 90.00
Atoms (fractional coordinates):
Y1 0.000 0.500 0.000
Y2 0.500 0.000 0.000
Sc1 0.000 0.000 0.500
H1 0.500 0.500 0.500
S1 0.000 0.000 0.000

The space-group type is No. 123. As for the density: 3.404 g cm⁻³. For the final energy, the calculation gives -5.667 eV/atom.

---

BeInRe2: optimized geometry, GGA-PBEsol.

Lattice parameters (Å, degrees): 2.719 2.719 8.309 90.00 90.00 109.94
Atoms (fractional coordinates):
Be1 0.000 0.000 0.000
In1 0.000 0.000 0.500
Re1 0.500 0.500 0.215
Re2 0.500 0.500 0.785

The space-group type is No. 65. The relative energy among the computed polymorphs comes out at 146.8 meV per atom. As for the calculated formation energy: 204 kJ/mol of formula units. As for the density: 14.273 g cm⁻³. For the final energy, the calculation gives -7.884 eV/atom.

---

KCaIn3: optimized geometry, GGA-PBEsol.

Lattice parameters (Å, degrees): 5.868 5.868 5.868 90.00 90.00 90.00
Atoms (fractional coordinates):
K1 0.000 0.000 0.000
Ca1 0.500 0.500 0.500
In1 0.000 0.500 0.500
In2 0.500 0.000 0.500
In3 0.500 0.500 0.000

The space-group type is No. 221. As for the calculated formation energy: 154 kJ/mol of formula units. As for the density: 3.482 g cm⁻³. For the final energy, the calculation gives -2.123 eV/atom.

---

AlRhW3: optimized geometry, GGA-PBEsol.

Lattice parameters (Å, degrees): 4.635 4.635 4.635 90.00 90.00 90.00
Atoms (fractional coordinates):
Al1 0.000 0.000 0.000
Rh1 0.500 0.500 0.500
W1 0.000 0.500 0.500
W2 0.500 0.000 0.500
W3 0.500 0.500 0.000

The space-group type is No. 221. As for the calculated formation energy: 946 kJ/mol of formula units. As for the density: 11.362 g cm⁻³. For the final energy, the calculation gives -8.769 eV/atom.

---

TaTi3P: optimized geometry, GGA-PBEsol.

Lattice parameters (Å, degrees): 4.460 4.460 4.460 90.00 90.00 90.00
Atoms (fractional coordinates):
Ta1 0.000 0.000 0.000
Ti1 0.000 0.500 0.500
Ti2 0.500 0.000 0.500
Ti3 0.500 0.500 0.000
P1 0.500 0.500 0.500

The space-group type is No. 221. As for the calculated formation energy: -20 kJ/mol of formula units. As for the density: 6.652 g cm⁻³. For the final energy, the calculation gives -8.703 eV/atom.

---

Sb3Se2: optimized geometry, GGA-PBEsol.

Lattice parameters (Å, degrees): 9.702 9.702 9.702 24.17 24.17 24.17
Atoms (fractional coordinates):
Sb1 0.000 0.000 0.000
Sb2 0.196 0.196 0.196
Sb3 0.804 0.804 0.804
Se1 0.392 0.392 0.392
Se2 0.608 0.608 0.608

The space-group type is No. 166. As for the uncorrected formation energy: -0.13 eV per atom. As for the density: 6.456 g cm⁻³. For the final energy, the calculation gives -4.403 eV/atom.

---

BaPb8: optimized geometry, GGA-PBEsol.

Lattice parameters (Å, degrees): 7.953 7.953 7.953 95.51 95.51 143.90
Atoms (fractional coordinates):
Ba1 0.000 0.000 0.000
Pb1 0.000 0.343 0.343
Pb2 0.000 0.657 0.657
Pb3 0.320 0.320 0.639
Pb4 0.320 0.680 0.000
Pb5 0.343 0.000 0.343
Pb6 0.657 0.000 0.657
Pb7 0.680 0.320 0.000
Pb8 0.680 0.680 0.361

The space-group type is No. 139. As for the calculated formation energy: -111 kJ/mol of formula units. As for the density: 10.576 g cm⁻³. For the final energy, the calculation gives -3.921 eV/atom.